# PBE ErGe3Pd5, optimized geometry
# N(E_F) (states/eV/cell): 13.62
# Calculated density (g/cm³): 9.29
# Raw total energy (eV/atom): -5.4893
# DFT formation energy (eV per formula unit): -5.02
data_ErGe3Pd5
_chemical_formula_sum 'Er4 Ge12 Pd20'
_cell_length_a 3.7556
_cell_length_b 13.3559
_cell_length_c 13.0732
_cell_angle_alpha 90.00
_cell_angle_beta 90.00
_cell_angle_gamma 90.00
_symmetry_space_group_name_H-M 'C m c m'
_symmetry_Int_Tables_number 63
_symmetry_space_group_name_Hall '-C 2c 2'
loop_
_atom_site_label
_atom_site_type_symbol
_atom_site_fract_x
_atom_site_fract_y
_atom_site_fract_z
_atom_site_occupancy
Er1 Er 0.0000 0.1104 0.2500 1
Ge1 Ge 0.0000 0.1299 0.7500 1
Ge2 Ge 0.0000 0.3787 0.5426 1
Pd1 Pd 0.0000 0.0000 0.0000 1
Pd2 Pd 0.0000 0.2015 0.5738 1
Pd3 Pd 0.0000 0.4563 0.1480 1



# PBE MgNiRu2, optimized geometry
# N(E_F) (states/eV/cell): 8.50
# Calculated density (g/cm³): 8.63
# Raw total energy (eV/atom): -6.3947
# DFT formation energy (eV per formula unit): 0.35
data_MgNiRu2
_chemical_formula_sum 'Mg2 Ni2 Ru4'
_cell_length_a 3.8699
_cell_length_b 3.8699
_cell_length_c 7.3286
_cell_angle_alpha 90.00
_cell_angle_beta 90.00
_cell_angle_gamma 90.00
_symmetry_space_group_name_H-M 'I -4 m 2'
_symmetry_Int_Tables_number 119
_symmetry_space_group_name_Hall 'I -4 -2'
loop_
_atom_site_label
_atom_site_type_symbol
_atom_site_fract_x
_atom_site_fract_y
_atom_site_fract_z
_atom_site_occupancy
Mg1 Mg 0.0000 0.0000 0.0000 1
Ni1 Ni 0.0000 0.5000 0.7500 1
Ru1 Ru 0.0000 0.0000 0.5000 1
Ru2 Ru 0.0000 0.5000 0.2500 1



# PBE SrPmC3N6, optimized geometry
# Formation energy without anion corrections (eV per atom): -0.4303
# N(E_F) (states/eV/cell): 22.11
# Calculated density (g/cm³): 3.03
# Raw total energy (eV/atom): -8.0717
data_SrPmC3N6
_chemical_formula_sum 'Sr3 Pm3 C9 N18'
_cell_length_a 6.6986
_cell_length_b 6.6986
_cell_length_c 14.9222
_cell_angle_alpha 90.00
_cell_angle_beta 90.00
_cell_angle_gamma 120.00
_symmetry_space_group_name_H-M 'R -3'
_symmetry_Int_Tables_number 148
_symmetry_space_group_name_Hall '-R 3'
loop_
_atom_site_label
_atom_site_type_symbol
_atom_site_fract_x
_atom_site_fract_y
_atom_site_fract_z
_atom_site_occupancy
Sr1 Sr 0.0000 0.0000 0.0000 1
Pm1 Pm 0.0000 0.0000 0.5000 1
C1 C 0.0000 0.5000 0.0000 1
N1 N 0.0290 0.7340 0.3951 1